VASP calculation (GGA-PBE) on an optimized crystal structure of Cs3AcU2Te6.

a b c (Å): 8.1319 8.1319 9.3777
angles (deg): 98.32 98.32 120.00
With the nearest neighbours (Å) after each atom.
Element x y z (fractional)
Te1 0.0656 0.4146 0.1959  2 U 3.18, 1 Ac 3.34
Te2 0.9344 0.5854 0.8041  2 U 3.18, 1 Ac 3.34
Te3 0.4146 0.0656 0.1959  2 U 3.18, 1 Ac 3.34
Te4 0.7154 0.7154 0.1942  2 U 3.18, 1 Ac 3.33
Te5 0.2846 0.2846 0.8058  2 U 3.18, 1 Ac 3.33
Te6 0.5854 0.9344 0.8041  2 U 3.18, 1 Ac 3.34
U1 0.6672 0.3328 0.0000  6 Te 3.18
U2 0.3328 0.6672 0.0000  6 Te 3.18
Cs1 0.1627 0.8373 0.5000  6 Te 3.79-3.90
Cs2 0.5000 0.5000 0.5000  6 Te 3.77-3.89
Cs3 0.8373 0.1627 0.5000  6 Te 3.79-3.90
Ac1 0.0000 0.0000 0.0000  6 Te 3.33-3.34

The density of states at the Fermi level comes out at 1.323 states/eV/atom. The raw total energy comes out at -5.051 eV/atom. Its space group is No. 12. Its crystal system is monoclinic. The uncorrected formation energy is -1.043 eV/atom.